Record 1
DFT (PBE) results for K2In4GaAu3 after structural relaxation.

```
K2In4GaAu3
1.0
4.955 0.000 0.000
0.000 4.955 0.000
0.000 0.000 11.151
K In Ga Au
2 4 1 3
Direct
0.000 0.500 0.242
0.500 0.000 0.758
0.000 0.000 0.500
0.000 0.500 0.875
0.500 0.000 0.125
0.500 0.500 0.500
0.500 0.500 0.000
0.000 0.000 0.000
0.000 0.500 0.626
0.500 0.000 0.374
```

Results
energy of formation = -5.98 kcal/mol of atoms
calculated density = 7.267 g/cm³
space group = P-4m2, No. 115

=====

Record 2
DFT (PBE) results for PmHo3Sc3 after structural relaxation.

```
PmHo3Sc3
1.0
5.226 3.017 2.225
-5.226 3.017 2.225
0.000 -6.035 2.225
Pm Ho Sc
1 3 3
Direct
0.000 0.000 0.000
0.516 0.516 0.930
0.516 0.930 0.516
0.930 0.516 0.516
0.018 0.018 0.490
0.018 0.490 0.018
0.490 0.018 0.018
```

Results
energy of formation = 6.36 kcal/mol of atoms
calculated density = 6.111 g/cm³
excess energy over the best structure of this formula in the dataset = 89 meV/atom
space group = R3m, No. 160

=====

Record 3
DFT (PBE) results for Be6ZnIr after structural relaxation.

```
Be6ZnIr
1.0
4.309 0.000 0.000
0.000 4.309 0.000
0.000 0.000 4.309
Be Zn Ir
6 1 1
Direct
0.000 0.258 0.500
0.000 0.742 0.500
0.258 0.500 0.000
0.500 0.000 0.258
0.500 0.000 0.742
0.742 0.500 0.000
0.000 0.000 0.000
0.500 0.500 0.500
```

Results
energy of formation = -1.05 kcal/mol of atoms
calculated density = 6.470 g/cm³
space group = Pm-3, No. 200

=====

D(E_F)
In order: 3.5; 11.5; 3.1
Unit: states/eV/cell